1.
A relaxed structure of MgBeIr, computed with PBE.

abc: 3.921 3.921 3.921
angles: 60.00 60.00 60.00
Element x y z (fractional)
Mg 0.750 0.750 0.750
Be 0.000 0.000 0.000
Ir 0.250 0.250 0.250

Properties
SG = F-43m
Total energy = -4.87 eV/atom
Size of the total moment = 0.0 μB/f.u.



2.
A relaxed structure of MgBe2Ir2, computed with PBE.

abc: 3.755 3.755 5.656
angles: 109.39 109.39 90.00
Element x y z (fractional)
Be 0.250 0.750 0.500
Be 0.750 0.250 0.500
Ir 0.375 0.375 0.751
Ir 0.625 0.625 0.249
Mg 0.000 0.000 0.000

Properties
SG = I4/mmm
Total energy = -5.53 eV/atom
Size of the total moment = 0.0 μB/f.u.



3.
A relaxed structure of MgBe2Ir2, computed with PBE.

abc: 6.409 6.409 2.919
angles: 90.00 90.00 90.00
Element x y z (fractional)
Ir 0.164 0.664 0.500
Ir 0.664 0.836 0.500
Ir 0.836 0.336 0.500
Ir 0.336 0.164 0.500
Mg 0.500 0.500 0.000
Mg 0.000 0.000 0.000
Be 0.625 0.125 0.000
Be 0.125 0.375 0.000
Be 0.375 0.875 0.000
Be 0.875 0.625 0.000

Properties
SG = P4/mbm
Total energy = -5.91 eV/atom
Size of the total moment = 0.0 μB/f.u.



4.
A relaxed structure of MgBeIr2, computed with PBE.

abc: 4.290 4.290 4.290
angles: 60.00 60.00 60.00
Element x y z (fractional)
Ir 0.750 0.750 0.750
Ir 0.000 0.000 0.000
Be 0.500 0.500 0.500
Mg 0.250 0.250 0.250

Properties
SG = F-43m
Total energy = -5.75 eV/atom
Size of the total moment = 1.1 μB/f.u.



5.
A relaxed structure of Mg2BeIr, computed with PBE.

abc: 4.336 4.336 4.336
angles: 60.00 60.00 60.00
Element x y z (fractional)
Mg 0.750 0.750 0.750
Mg 0.000 0.000 0.000
Be 0.500 0.500 0.500
Ir 0.250 0.250 0.250

Properties
SG = F-43m
Total energy = -4.08 eV/atom
Size of the total moment = 0.0 μB/f.u.



6.
A relaxed structure of MgBeSbIr, computed with PBE.

abc: 4.491 4.491 4.491
angles: 60.00 60.00 60.00
Element x y z (fractional)
Sb 0.250 0.250 0.250
Ir 0.000 0.000 0.000
Mg 0.500 0.500 0.500
Be 0.750 0.750 0.750

Properties
SG = F-43m
Total energy = -4.50 eV/atom
Size of the total moment = 0.0 μB/f.u.



7.
A relaxed structure of BeMo2Ir, computed with PBE.

abc: 4.302 4.302 4.302
angles: 60.00 60.00 60.00
Element x y z (fractional)
Ir 0.250 0.250 0.250
Be 0.500 0.500 0.500
Mo 0.000 0.000 0.000
Mo 0.750 0.750 0.750

Properties
SG = F-43m
Total energy = -8.56 eV/atom
Size of the total moment = 0.0 μB/f.u.



8.
A relaxed structure of Be2MoIr, computed with PBE.

abc: 4.120 4.120 4.120
angles: 60.00 60.00 60.00
Element x y z (fractional)
Be 0.750 0.750 0.750
Be 0.000 0.000 0.000
Mo 0.250 0.250 0.250
Ir 0.500 0.500 0.500

Properties
SG = F-43m
Total energy = -6.88 eV/atom
Size of the total moment = 0.0 μB/f.u.



9.
A relaxed structure of NaBeMoIr, computed with PBE.

abc: 4.331 4.331 4.331
angles: 60.00 60.00 60.00
Element x y z (fractional)
Ir 0.250 0.250 0.250
Be 0.750 0.750 0.750
Na 0.500 0.500 0.500
Mo 0.000 0.000 0.000

Properties
SG = F-43m
Total energy = -5.75 eV/atom
Size of the total moment = 0.0 μB/f.u.



10.
A relaxed structure of NaBeMoIr, computed with PBE.

abc: 4.289 4.289 4.289
angles: 60.00 60.00 60.00
Element x y z (fractional)
Ir 0.000 0.000 0.000
Mo 0.250 0.250 0.250
Na 0.500 0.500 0.500
Be 0.750 0.750 0.750

Properties
SG = F-43m
Total energy = -5.91 eV/atom
Size of the total moment = 0.0 μB/f.u.



11.
A relaxed structure of RbBeMoIr, computed with PBE.

abc: 4.566 4.566 4.566
angles: 60.00 60.00 60.00
Element x y z (fractional)
Be 0.750 0.750 0.750
Ir 0.000 0.000 0.000
Rb 0.500 0.500 0.500
Mo 0.250 0.250 0.250

Properties
SG = F-43m
Total energy = -4.83 eV/atom
Size of the total moment = 0.0 μB/f.u.



12.
A relaxed structure of RbBeMoIr, computed with PBE.

abc: 4.620 4.620 4.620
angles: 60.00 60.00 60.00
Element x y z (fractional)
Mo 0.000 0.000 0.000
Ir 0.500 0.500 0.500
Rb 0.250 0.250 0.250
Be 0.750 0.750 0.750

Properties
SG = F-43m
Total energy = -4.33 eV/atom
Size of the total moment = 2.7 μB/f.u.



13.
A relaxed structure of BeIrNO, computed with PBE.

abc: 3.220 3.220 7.421
angles: 90.00 90.00 90.00
Element x y z (fractional)
N 0.250 0.250 0.604
N 0.750 0.750 0.396
O 0.750 0.250 0.000
O 0.250 0.750 0.000
Be 0.750 0.250 0.500
Be 0.250 0.750 0.500
Ir 0.250 0.250 0.177
Ir 0.750 0.750 0.823

Properties
SG = P4/nmm
Total energy = -6.08 eV/atom
Size of the total moment = 0.0 μB/f.u.



14.
A relaxed structure of BeIrNO, computed with PBE.

abc: 2.744 4.763 5.658
angles: 90.00 90.00 90.00
Element x y z (fractional)
N 0.000 0.371 0.658
N 0.000 0.871 0.342
O 0.500 0.389 0.258
O 0.500 0.889 0.742
Be 0.000 0.511 0.383
Be 0.000 0.011 0.617
Ir 0.500 0.482 0.901
Ir 0.500 0.982 0.099

Properties
SG = Pmc2_1
Total energy = -7.11 eV/atom
Size of the total moment = 0.0 μB/f.u.



15.
A relaxed structure of BeIrNO, computed with PBE.

abc: 2.784 4.711 5.689
angles: 90.00 90.00 90.00
Element x y z (fractional)
N 0.000 0.389 0.733
N 0.000 0.889 0.267
O 0.500 0.367 0.135
O 0.500 0.867 0.865
Be 0.500 0.510 0.871
Be 0.500 0.010 0.129
Ir 0.000 0.489 0.399
Ir 0.000 0.989 0.601

Properties
SG = Pmc2_1
Total energy = -7.13 eV/atom
Size of the total moment = 0.0 μB/f.u.



16.
A relaxed structure of BeIrNO, computed with PBE.

abc: 3.573 3.573 6.470
angles: 90.00 90.00 90.00
Element x y z (fractional)
Be 0.000 0.500 0.041
Be 0.500 0.000 0.959
Ir 0.500 0.500 0.500
Ir 0.000 0.000 0.500
O 0.000 0.000 0.000
O 0.500 0.500 0.000
N 0.500 0.000 0.667
N 0.000 0.500 0.333

Properties
SG = P4/nmm
Total energy = -6.91 eV/atom
Size of the total moment = 0.0 μB/f.u.



17.
A relaxed structure of NaBeIr, computed with PBE.

abc: 4.007 4.007 4.007
angles: 60.00 60.00 60.00
Element x y z (fractional)
Be 0.000 0.000 0.000
Ir 0.250 0.250 0.250
Na 0.750 0.750 0.750

Properties
SG = F-43m
Total energy = -4.05 eV/atom
Size of the total moment = 0.0 μB/f.u.



18.
A relaxed structure of NaBeIr, computed with PBE.

abc: 4.137 4.137 4.137
angles: 60.00 60.00 60.00
Element x y z (fractional)
Na 0.000 0.000 0.000
Ir 0.750 0.750 0.750
Be 0.250 0.250 0.250

Properties
SG = F-43m
Total energy = -3.10 eV/atom
Size of the total moment = 0.0 μB/f.u.



19.
A relaxed structure of NaBeTeIr, computed with PBE.

abc: 4.571 4.571 4.571
angles: 60.00 60.00 60.00
Element x y z (fractional)
Na 0.500 0.500 0.500
Ir 0.250 0.250 0.250
Be 0.750 0.750 0.750
Te 0.000 0.000 0.000

Properties
SG = F-43m
Total energy = -3.74 eV/atom
Size of the total moment = 0.0 μB/f.u.



20.
A relaxed structure of NaBeTeIr, computed with PBE.

abc: 4.549 4.549 4.549
angles: 60.00 60.00 60.00
Element x y z (fractional)
Ir 0.000 0.000 0.000
Be 0.250 0.250 0.250
Na 0.750 0.750 0.750
Te 0.500 0.500 0.500

Properties
SG = F-43m
Total energy = -3.75 eV/atom
Size of the total moment = 0.0 μB/f.u.



21.
A relaxed structure of NaBeTeIr, computed with PBE.

abc: 4.518 4.518 4.518
angles: 60.00 60.00 60.00
Element x y z (fractional)
Na 0.500 0.500 0.500
Te 0.250 0.250 0.250
Ir 0.000 0.000 0.000
Be 0.750 0.750 0.750

Properties
SG = F-43m
Total energy = -4.06 eV/atom
Size of the total moment = 0.0 μB/f.u.



22.
A relaxed structure of NaBeIrW, computed with PBE.

abc: 4.331 4.331 4.331
angles: 60.00 60.00 60.00
Element x y z (fractional)
Ir 0.000 0.000 0.000
Na 0.750 0.750 0.750
Be 0.500 0.500 0.500
W 0.250 0.250 0.250

Properties
SG = F-43m
Total energy = -6.23 eV/atom
Size of the total moment = 0.0 μB/f.u.



23.
A relaxed structure of NaBeIrW, computed with PBE.

abc: 4.295 4.295 4.295
angles: 60.00 60.00 60.00
Element x y z (fractional)
W 0.500 0.500 0.500
Na 0.750 0.750 0.750
Be 0.000 0.000 0.000
Ir 0.250 0.250 0.250

Properties
SG = F-43m
Total energy = -6.37 eV/atom
Size of the total moment = 0.0 μB/f.u.



24.
A relaxed structure of BeNb2Ir, computed with PBE.

abc: 4.409 4.409 4.409
angles: 60.00 60.00 60.00
Element x y z (fractional)
Ir 0.250 0.250 0.250
Nb 0.000 0.000 0.000
Nb 0.750 0.750 0.750
Be 0.500 0.500 0.500

Properties
SG = F-43m
Total energy = -8.24 eV/atom
Size of the total moment = 0.0 μB/f.u.



25.
A relaxed structure of Be8Nb3Ir, computed with PBE.

abc: 7.878 7.878 7.878
angles: 33.44 33.44 33.44
Element x y z (fractional)
Be 0.941 0.435 0.941
Be 0.435 0.941 0.941
Be 0.437 0.935 0.437
Be 0.437 0.437 0.935
Be 0.941 0.941 0.435
Be 0.188 0.188 0.188
Be 0.687 0.687 0.687
Be 0.935 0.437 0.437
Ir 0.876 0.876 0.876
Nb 0.502 0.502 0.502
Nb 0.997 0.997 0.997
Nb 0.376 0.376 0.376

Properties
SG = R3m
Total energy = -6.10 eV/atom
Size of the total moment = 0.0 μB/f.u.



26.
A relaxed structure of BeNi2Ir, computed with PBE.

abc: 3.978 3.978 3.978
angles: 60.00 60.00 60.00
Element x y z (fractional)
Ir 0.250 0.250 0.250
Be 0.500 0.500 0.500
Ni 0.000 0.000 0.000
Ni 0.750 0.750 0.750

Properties
SG = F-43m
Total energy = -6.06 eV/atom
Size of the total moment = 1.7 μB/f.u.



27.
A relaxed structure of BeNiIrPb, computed with PBE.

abc: 4.334 4.334 4.334
angles: 60.00 60.00 60.00
Element x y z (fractional)
Pb 0.000 0.000 0.000
Be 0.250 0.250 0.250
Ir 0.500 0.500 0.500
Ni 0.750 0.750 0.750

Properties
SG = F-43m
Total energy = -5.11 eV/atom
Size of the total moment = 0.0 μB/f.u.



28.
A relaxed structure of BeNiSbIr, computed with PBE.

abc: 4.286 4.286 4.286
angles: 60.00 60.00 60.00
Element x y z (fractional)
Sb 0.000 0.000 0.000
Ni 0.750 0.750 0.750
Be 0.250 0.250 0.250
Ir 0.500 0.500 0.500

Properties
SG = F-43m
Total energy = -5.39 eV/atom
Size of the total moment = 0.0 μB/f.u.



29.
A relaxed structure of BeSiNiIr, computed with PBE.

abc: 4.030 4.030 4.030
angles: 60.00 60.00 60.00
Element x y z (fractional)
Si 0.000 0.000 0.000
Ni 0.750 0.750 0.750
Be 0.250 0.250 0.250
Ir 0.500 0.500 0.500

Properties
SG = F-43m
Total energy = -6.00 eV/atom
Size of the total moment = 0.0 μB/f.u.